[1]
MgAsS2Cl: relaxed, PBE.

```
data_MgAsS2Cl
_chemical_formula_sum 'Mg1 As1 S2 Cl1'
_symmetry_space_group_name_H-M 'P 4/m m m'
_symmetry_Int_Tables_number 123
_symmetry_space_group_name_Hall '-P 4 2'
_cell_length_a 4.894
_cell_length_b 4.894
_cell_length_c 4.544
_cell_angle_alpha 90.00
_cell_angle_beta 90.00
_cell_angle_gamma 90.00
loop_
_atom_site_label
_atom_site_type_symbol
_atom_site_fract_x
_atom_site_fract_y
_atom_site_fract_z
_atom_site_occupancy
Mg1 Mg 0.000 0.000 0.000 1
As1 As 0.500 0.500 0.500 1
S1 S 0.000 0.500 0.000 1
Cl1 Cl 0.000 0.000 0.500 1
```

## Properties
Formation energy without anion corrections in kcal/mol of atoms: 1.369
ΔE to the lowest computed polymorph in eV per atom: 0.143
VASP energy in eV/cell: -16.05



[2]
LaPmMnCu: relaxed, PBE.

```
data_LaPmMnCu
_chemical_formula_sum 'La4 Pm4 Mn4 Cu4'
_symmetry_space_group_name_H-M 'F -4 3 m'
_symmetry_Int_Tables_number 216
_symmetry_space_group_name_Hall 'F -4 2 3'
_cell_length_a 7.277
_cell_length_b 7.277
_cell_length_c 7.277
_cell_angle_alpha 90.00
_cell_angle_beta 90.00
_cell_angle_gamma 90.00
loop_
_atom_site_label
_atom_site_type_symbol
_atom_site_fract_x
_atom_site_fract_y
_atom_site_fract_z
_atom_site_occupancy
La1 La 0.000 0.000 0.000 1
Pm1 Pm 0.000 0.000 0.500 1
Mn1 Mn 0.250 0.250 0.750 1
Cu1 Cu 0.250 0.250 0.250 1
```

## Properties
VASP energy in eV/cell: -90.02
Calculated formation energy in meV per atom: 110



[3]
Be2PF: relaxed, PBE.

```
data_Be2PF
_chemical_formula_sum 'Be8 P4 F4'
_symmetry_space_group_name_H-M 'I m m m'
_symmetry_Int_Tables_number 71
_symmetry_space_group_name_Hall '-I 2 2'
_cell_length_a 3.529
_cell_length_b 5.857
_cell_length_c 10.102
_cell_angle_alpha 90.00
_cell_angle_beta 90.00
_cell_angle_gamma 90.00
loop_
_atom_site_label
_atom_site_type_symbol
_atom_site_fract_x
_atom_site_fract_y
_atom_site_fract_z
_atom_site_occupancy
Be1 Be 0.000 0.204 0.151 1
P1 P 0.000 0.500 0.283 1
F1 F 0.000 0.260 0.000 1
```

## Properties
Formation energy without anion corrections in kcal/mol of atoms: -30.180
ΔE to the lowest computed polymorph in eV per atom: 0.000
VASP energy in eV/cell: -79.87



[4]
Ba4NdSn3O12: relaxed, PBE.

```
data_Ba4NdSn3O12
_chemical_formula_sum 'Ba8 Nd2 Sn6 O24'
_symmetry_space_group_name_H-M 'I m -3 m'
_symmetry_Int_Tables_number 229
_symmetry_space_group_name_Hall '-I 4 2 3'
_cell_length_a 8.600
_cell_length_b 8.600
_cell_length_c 8.600
_cell_angle_alpha 90.00
_cell_angle_beta 90.00
_cell_angle_gamma 90.00
loop_
_atom_site_label
_atom_site_type_symbol
_atom_site_fract_x
_atom_site_fract_y
_atom_site_fract_z
_atom_site_occupancy
Ba1 Ba 0.250 0.250 0.250 1
Nd1 Nd 0.000 0.000 0.000 1
Sn1 Sn 0.000 0.000 0.500 1
O1 O 0.000 0.000 0.266 1
O2 O 0.000 0.250 0.500 1
```

## Properties
Formation energy without anion corrections in kcal/mol of atoms: -52.821
VASP energy in eV/cell: -259.55



[5]
Mn4FeCo: relaxed, PBE.

```
data_Mn4FeCo
_chemical_formula_sum 'Mn16 Fe4 Co4'
_symmetry_space_group_name_H-M 'C m c m'
_symmetry_Int_Tables_number 63
_symmetry_space_group_name_Hall '-C 2c 2'
_cell_length_a 4.878
_cell_length_b 13.456
_cell_length_c 3.886
_cell_angle_alpha 90.00
_cell_angle_beta 90.00
_cell_angle_gamma 90.00
loop_
_atom_site_label
_atom_site_type_symbol
_atom_site_fract_x
_atom_site_fract_y
_atom_site_fract_z
_atom_site_occupancy
Mn1 Mn 0.249 0.042 0.250 1
Mn2 Mn 0.250 0.208 0.250 1
Fe1 Fe 0.000 0.125 0.750 1
Co1 Co 0.000 0.375 0.250 1
```

## Properties
ΔE to the lowest computed polymorph in eV per atom: 0.000
VASP energy in eV/cell: -206.23
Calculated formation energy in meV per atom: 115



[6]
LaHo2Cd: relaxed, PBE.

```
data_LaHo2Cd
_chemical_formula_sum 'La1 Ho2 Cd1'
_symmetry_space_group_name_H-M 'P 4/m m m'
_symmetry_Int_Tables_number 123
_symmetry_space_group_name_Hall '-P 4 2'
_cell_length_a 4.907
_cell_length_b 4.907
_cell_length_c 4.935
_cell_angle_alpha 90.00
_cell_angle_beta 90.00
_cell_angle_gamma 90.00
loop_
_atom_site_label
_atom_site_type_symbol
_atom_site_fract_x
_atom_site_fract_y
_atom_site_fract_z
_atom_site_occupancy
La1 La 0.000 0.000 0.000 1
Ho1 Ho 0.000 0.500 0.500 1
Cd1 Cd 0.500 0.500 0.000 1
```

## Properties
ΔE to the lowest computed polymorph in eV per atom: 0.063
VASP energy in eV/cell: -15.33
Calculated formation energy in meV per atom: -83



[7]
TbBiPd4: relaxed, PBE.

```
data_TbBiPd4
_chemical_formula_sum 'Tb4 Bi4 Pd16'
_symmetry_space_group_name_H-M 'F -4 3 m'
_symmetry_Int_Tables_number 216
_symmetry_space_group_name_Hall 'F -4 2 3'
_cell_length_a 7.713
_cell_length_b 7.713
_cell_length_c 7.713
_cell_angle_alpha 90.00
_cell_angle_beta 90.00
_cell_angle_gamma 90.00
loop_
_atom_site_label
_atom_site_type_symbol
_atom_site_fract_x
_atom_site_fract_y
_atom_site_fract_z
_atom_site_occupancy
Tb1 Tb 0.000 0.000 0.000 1
Bi1 Bi 0.250 0.250 0.250 1
Pd1 Pd 0.125 0.125 0.625 1
```

## Properties
ΔE to the lowest computed polymorph in eV per atom: 0.036
VASP energy in eV/cell: -130.04
Calculated formation energy in meV per atom: -538



[8]
Ga2AgPd3: relaxed, PBE.

```
data_Ga2AgPd3
_chemical_formula_sum 'Ga16 Ag8 Pd24'
_symmetry_space_group_name_H-M 'I 41/a m d'
_symmetry_Int_Tables_number 141
_cell_length_a 8.195
_cell_length_b 8.195
_cell_length_c 11.414
_cell_angle_alpha 90.00
_cell_angle_beta 90.00
_cell_angle_gamma 90.00
loop_
_symmetry_equiv_pos_as_xyz
'x,y,z'
'-x,-y,-z'
'-y+1/4,x+3/4,z+1/4'
'y+1/4,-x+3/4,-z+1/4'
'-x+1/2,-y,z+1/2'
'x+1/2,y,-z+1/2'
'y+1/4,-x+1/4,z+3/4'
'-y+1/4,x+1/4,-z+3/4'
'x,-y,-z'
'-x,y,z'
'-y+1/4,-x+1/4,-z+3/4'
'y+1/4,x+1/4,z+3/4'
'-x+1/2,y,-z+1/2'
'x+1/2,-y,z+1/2'
'y+1/4,x+3/4,-z+1/4'
'-y+1/4,-x+3/4,z+1/4'
'x+1/2,y+1/2,z+1/2'
'-x+1/2,-y+1/2,-z+1/2'
'-y+3/4,x+1/4,z+3/4'
'y+3/4,-x+1/4,-z+3/4'
'-x,-y+1/2,z'
'x,y+1/2,-z'
'y+3/4,-x+3/4,z+1/4'
'-y+3/4,x+3/4,-z+1/4'
'x+1/2,-y+1/2,-z+1/2'
'-x+1/2,y+1/2,z+1/2'
'-y+3/4,-x+3/4,-z+1/4'
'y+3/4,x+3/4,z+1/4'
'-x,y+1/2,-z'
'x,-y+1/2,z'
'y+3/4,x+1/4,-z+3/4'
'-y+3/4,-x+1/4,z+3/4'
loop_
_atom_site_label
_atom_site_type_symbol
_atom_site_fract_x
_atom_site_fract_y
_atom_site_fract_z
_atom_site_occupancy
Ga1 Ga 0.000 0.065 0.277 1
Ag1 Ag 0.000 0.250 0.033 1
Pd1 Pd 0.000 0.000 0.500 1
Pd2 Pd 0.201 0.049 0.875 1
```

## Properties
ΔE to the lowest computed polymorph in eV per atom: 0.056
VASP energy in eV/cell: -215.99
Calculated formation energy in meV per atom: -419



[9]
Nd6Hg2Ge: relaxed, PBE.

```
data_Nd6Hg2Ge
_chemical_formula_sum 'Nd6 Hg2 Ge1'
_symmetry_space_group_name_H-M 'P -6 2 m'
_symmetry_Int_Tables_number 189
_symmetry_space_group_name_Hall 'P -6 -2'
_cell_length_a 8.7495
_cell_length_b 8.7495
_cell_length_c 4.0531
_cell_angle_alpha 90.00
_cell_angle_beta 90.00
_cell_angle_gamma 120.00
loop_
_atom_site_label
_atom_site_type_symbol
_atom_site_fract_x
_atom_site_fract_y
_atom_site_fract_z
_atom_site_occupancy
Nd1 Nd 0.0000 0.3942 0.0000 1
Nd2 Nd 0.0000 0.7407 0.5000 1
Hg1 Hg 0.3333 0.6667 0.5000 1
Ge1 Ge 0.0000 0.0000 0.0000 1
```

## Properties
VASP energy in eV/cell: -37.37
Calculated formation energy in meV per atom: -394



[10]
Th2Mn2Co15: relaxed, PBE.

```
data_Th2Mn2Co15
_chemical_formula_sum 'Th6 Mn6 Co45'
_symmetry_space_group_name_H-M 'R -3 m'
_symmetry_Int_Tables_number 166
_symmetry_space_group_name_Hall '-R 3 2"'
_cell_length_a 8.3931
_cell_length_b 8.3931
_cell_length_c 12.2792
_cell_angle_alpha 90.00
_cell_angle_beta 90.00
_cell_angle_gamma 120.00
loop_
_atom_site_label
_atom_site_type_symbol
_atom_site_fract_x
_atom_site_fract_y
_atom_site_fract_z
_atom_site_occupancy
Th1 Th 0.0000 0.0000 0.1526 1
Mn1 Mn 0.0000 0.0000 0.3963 1
Co1 Co 0.0000 0.2850 0.5000 1
Co2 Co 0.0000 0.5000 0.0000 1
Co3 Co 0.0015 0.5008 0.3484 1
```

## Properties
VASP energy in eV/cell: -425.58
Calculated formation energy in meV per atom: -110



[11]
TaSI2O: relaxed, PBE.

```
data_TaSI2O
_chemical_formula_sum 'Ta1 S1 I2 O1'
_symmetry_space_group_name_H-M 'P 4/m m m'
_symmetry_Int_Tables_number 123
_symmetry_space_group_name_Hall '-P 4 2'
_cell_length_a 5.558
_cell_length_b 5.558
_cell_length_c 3.526
_cell_angle_alpha 90.00
_cell_angle_beta 90.00
_cell_angle_gamma 90.00
loop_
_atom_site_label
_atom_site_type_symbol
_atom_site_fract_x
_atom_site_fract_y
_atom_site_fract_z
_atom_site_occupancy
Ta1 Ta 0.000 0.000 0.000 1
S1 S 0.500 0.500 0.500 1
I1 I 0.000 0.500 0.500 1
O1 O 0.500 0.500 0.000 1
```

## Properties
Formation energy without anion corrections in kcal/mol of atoms: 18.656
ΔE to the lowest computed polymorph in eV per atom: 1.108
VASP energy in eV/cell: -19.99



> Which value of VASP energy does entry 2 give?

-90.02 eV/cell